# 1
{
  "formula": "TlNi2Br",
  "functional": "PBE",
  "state": "relaxed",
  "de_polymorph_mev_per_atom": 446,
  "formation_energy_uncorrected_mev_per_atom": 545,
  "sg": "Fm-3m",
  "lattice_angstrom": [[-1.880, -2.901, 3.032], [-3.344, 1.452, 2.803], [-4.311, -1.481, -0.604]],
  "species": ["Ni", "Tl", "Br", "Ni"],
  "frac_coords": [[0.250, 0.250, 0.250], [0.500, 0.500, 0.500], [0.000, 0.000, 0.000], [0.750, 0.750, 0.750]]
}

=====

# 2
{
  "formula": "TiPdS2Cl",
  "functional": "PBE",
  "state": "relaxed",
  "de_polymorph_mev_per_atom": 549,
  "formation_energy_uncorrected_mev_per_atom": 242,
  "sg": "P4/mmm",
  "lattice_angstrom": [[-2.797, 2.921, -2.421], [1.561, -1.856, -4.042], [-3.421, -3.166, 0.133]],
  "species": ["Pd", "S", "S", "Ti", "Cl"],
  "frac_coords": [[0.000, 0.000, 0.000], [0.000, 0.500, 0.000], [0.500, 0.000, 0.000], [0.500, 0.500, 0.500], [0.000, 0.000, 0.500]]
}

=====

# 3
{
  "formula": "Pr12Ru6Au",
  "functional": "PBE",
  "state": "relaxed",
  "e_form_ev_per_atom": -0.1753,
  "sg": "Im-3",
  "lattice_angstrom": [[8.319, 0.000, -2.941], [-4.159, 7.204, -2.941], [0.000, 0.000, 8.823]],
  "species": ["Pr", "Pr", "Au", "Ru", "Ru", "Pr", "Ru", "Pr", "Ru", "Pr", "Ru", "Pr", "Pr", "Pr", "Pr", "Pr", "Pr", "Ru", "Pr"],
  "frac_coords": [[0.508, 0.805, 0.703], [0.703, 0.898, 0.195], [0.000, 0.000, 0.000], [0.121, 0.621, 0.500], [0.621, 0.500, 0.121], [0.297, 0.102, 0.805], [0.379, 0.500, 0.879], [0.805, 0.297, 0.102], [0.500, 0.879, 0.379], [0.195, 0.703, 0.898], [0.500, 0.121, 0.621], [0.195, 0.297, 0.492], [0.492, 0.195, 0.297], [0.102, 0.805, 0.297], [0.805, 0.703, 0.508], [0.297, 0.492, 0.195], [0.898, 0.195, 0.703], [0.879, 0.379, 0.500], [0.703, 0.508, 0.805]]
}

=====

# 4
{
  "formula": "OsW2Au",
  "functional": "PBE",
  "state": "relaxed",
  "e_form_ev_per_atom": 0.3169,
  "de_polymorph_mev_per_atom": 111,
  "sg": "Cm",
  "lattice_angstrom": [[-3.933, -2.799, -0.688], [-1.921, -3.711, -2.513], [1.032, -3.716, 2.995]],
  "species": ["W", "Os", "Au", "W"],
  "frac_coords": [[0.004, 0.004, 0.982], [0.743, 0.743, 0.775], [0.499, 0.499, 0.494], [0.254, 0.254, 0.249]]
}